Here is crystalline Li2VSnF6 at its relaxed geometry from the Alexandria database. Energies are from PBE with a Hubbard U.

Structure (CIF):
```
data_Li2VSnF6
_chemical_formula_sum 'Li6 V3 Sn3 F18'
_cell_length_a 5.5019
_cell_length_b 5.5019
_cell_length_c 14.5875
_cell_angle_alpha 90.00
_cell_angle_beta 90.00
_cell_angle_gamma 120.00
_symmetry_space_group_name_H-M 'R 3'
_symmetry_Int_Tables_number 146
_symmetry_space_group_name_Hall 'R 3'
loop_
_atom_site_label
_atom_site_fract_x
_atom_site_fract_y
_atom_site_fract_z
Li1 0.0000 0.0000 0.0000
Li2 0.0000 0.0000 0.4967
V1 0.0000 0.0000 0.7923
Sn1 0.0000 0.0000 0.2780
F1 0.0250 0.3441 0.0577
F2 0.0874 0.7369 0.5552
```

Computed properties:
- crystal system = trigonal
- raw total energy (eV per atom) = -5.260
- size of the total moment (μB/f.u.) = 3.0
- Fermi-level density of states (states/eV/f.u.) = 0.0

***

Here is crystalline Li2VSnF8 at its relaxed geometry from the Alexandria database. Energies are from PBE with a Hubbard U.

Structure (CIF):
```
data_Li2VSnF8
_chemical_formula_sum 'Li4 V2 Sn2 F16'
_cell_length_a 6.6926
_cell_length_b 6.7689
_cell_length_c 6.6474
_cell_angle_alpha 90.00
_cell_angle_beta 90.00
_cell_angle_gamma 90.00
_symmetry_space_group_name_H-M 'C m m m'
_symmetry_Int_Tables_number 65
_symmetry_space_group_name_Hall '-C 2 2'
loop_
_atom_site_label
_atom_site_fract_x
_atom_site_fract_y
_atom_site_fract_z
Li1 0.0000 0.0000 0.2348
V1 0.0000 0.5000 0.0000
Sn1 0.0000 0.5000 0.5000
F1 0.0000 0.3040 0.2271
F2 0.1860 0.0000 0.5000
F3 0.2113 0.0000 0.0000
```

Computed properties:
- crystal system = orthorhombic
- raw total energy (eV per atom) = -5.195
- size of the total moment (μB/f.u.) = 1.4
- Fermi-level density of states (states/eV/f.u.) = 2.5